# 1
Compound: YCuSnHg
Source: OQMD via LeMat-Bulk
Functional: PBE
Structure: relaxed

The structure in POSCAR format:
```
YCuSnHg
1.0
1.546 -3.692 -2.984
-1.152 -4.735 1.084
-3.293 -2.476 -2.819
Hg Cu Y Sn
1 1 1 1
Direct
0.250 0.250 0.250
0.750 0.750 0.750
0.500 0.500 0.500
0.000 0.000 0.000
```

Output
Its energy above the most stable polymorph in this dataset is 0.000 kcal/mol of atoms.

---

# 2
Compound: YCuSnHg
Source: OQMD via LeMat-Bulk
Functional: PBE
Structure: relaxed

The structure in POSCAR format:
```
YCuSnHg
1.0
0.000 3.531 3.531
3.531 0.000 3.531
3.531 3.531 0.000
Hg Sn Y Cu
1 1 1 1
Direct
0.500 0.500 0.500
0.000 0.000 0.000
0.250 0.250 0.250
0.750 0.750 0.750
```

Output
Its energy above the most stable polymorph in this dataset is 0.676 kcal/mol of atoms.

---

Calculated total energy for every record listed, in sequence, given in eV/atom: -3.8651, -3.8358.
Total magnetic moment for every record listed, in sequence, given in μB/f.u.: 0.00, 0.00.